DFT (PBE-GGA) results for a geometry-optimized NaTm2CuSe4 structure.

Results
Formation energy (no corrections)   -1.45 eV per atom
VASP energy   -4.989 eV per atom

abc: 4.0137 13.4585 14.1779
angles: 90.00 90.00 90.00
Last column: nearest neighbours and their distance in Å.
Space group Cmcm (No. 63)
One atom of each set of equivalent atoms:
Na 0.0000 0.1188 0.2500 x4  6 Se 3.03-3.14
Tm 0.0000 0.3656 0.0680 x8  6 Se 2.81-2.89
Cu 0.0000 0.1552 0.7500 x4  4 Se 2.45-2.47
Se 0.0000 0.0000 0.0000 x4  4 Tm 2.87
Se 0.0000 0.2715 0.6150 x8  1 Cu 2.47
Se 0.0000 0.4496 0.2500 x4  2 Cu 2.45